VASP calculation (PBE) on a relaxed structure of MnSbTe2.

The structure in CIF format:
```
data_MnSbTe2
_chemical_formula_sum 'Mn1 Sb1 Te2'
_symmetry_space_group_name_H-M 'P m m m'
_symmetry_Int_Tables_number 47
_symmetry_space_group_name_Hall '-P 2 2'
_cell_length_a 3.6448
_cell_length_b 5.1212
_cell_length_c 5.4921
_cell_angle_alpha 90.00
_cell_angle_beta 90.00
_cell_angle_gamma 90.00
loop_
_atom_site_label
_atom_site_fract_x
_atom_site_fract_y
_atom_site_fract_z
Mn1 0.0000 0.0000 0.0000
Sb1 0.5000 0.0000 0.5000
Te1 0.0000 0.5000 0.5000
Te2 0.5000 0.5000 0.0000
```

## Properties
- formation energy (no corrections) (eV/atom) = 0.4016
- N(E_F) (states/eV per atom) = 0.660